Entry 1:
Compound: Sm3CCl2
Source: Alexandria
Functional: PBE
Structure: optimized geometry

a b c (Å): 7.3048 7.3048 7.3048
angles (deg): 150.57 135.98 53.84
Positions (direct):
Sm1 0.0000 0.0000 0.0000
Sm2 0.3747 0.3747 0.0000
Sm3 0.6253 0.6253 0.0000
C1 0.5000 0.0000 0.5000
Cl1 0.1781 0.6781 0.5000
Cl2 0.8219 0.3219 0.5000

Output
- ΔE_f (raw): -1102 meV per atom
- Fermi-level density of states: 2.71 states/eV/cell

***

Entry 2:
Compound: LuPaSi4
Source: Alexandria
Functional: PBE
Structure: optimized geometry

a b c (Å): 5.2709 5.2709 5.2709
angles (deg): 60.00 60.00 60.00
Positions (direct):
Lu1 0.0000 0.0000 0.0000
Pa1 0.7500 0.7500 0.7500
Si1 0.3722 0.3722 0.3722
Si2 0.3722 0.3722 0.8835
Si3 0.3722 0.8835 0.3722
Si4 0.8835 0.3722 0.3722

Output
- ΔE_f (raw): -262 meV per atom
- Fermi-level density of states: 5.17 states/eV/cell

***

Entry 3:
Compound: CsNd3
Source: Alexandria
Functional: PBE
Structure: optimized geometry

a b c (Å): 6.6158 6.6158 6.6158
angles (deg): 131.58 131.58 70.90
Positions (direct):
Cs1 0.0000 0.0000 0.0000
Nd1 0.2500 0.7500 0.5000
Nd2 0.5000 0.5000 0.0000
Nd3 0.7500 0.2500 0.5000

Output
- E_form: 213 kJ/mol of formula units
- Fermi-level density of states: 6.02 states/eV/cell

***

Entry 4:
Compound: Rb3ScU3Te8
Source: Alexandria
Functional: PBE
Structure: optimized geometry

a b c (Å): 10.1660 10.1660 10.1660
angles (deg): 51.55 51.55 51.55
Positions (direct):
Rb1 0.0000 0.5000 0.5000
Rb2 0.5000 0.0000 0.5000
Rb3 0.5000 0.5000 0.0000
Sc1 0.5000 0.5000 0.5000
U1 0.0000 0.0000 0.5000
U2 0.0000 0.5000 0.0000
U3 0.5000 0.0000 0.0000
Te1 0.2345 0.2345 0.2345
Te2 0.2419 0.7260 0.7260
Te3 0.2740 0.2740 0.7581
Te4 0.2740 0.7581 0.2740
Te5 0.7260 0.2419 0.7260
Te6 0.7260 0.7260 0.2419
Te7 0.7581 0.2740 0.2740
Te8 0.7655 0.7655 0.7655

Output
- ΔE_f (raw): -914 meV per atom
- Fermi-level density of states: 22.20 states/eV/cell

***

Entry 5:
Compound: Li2Mg2In
Source: Alexandria
Functional: PBE
Structure: optimized geometry

a b c (Å): 7.8960 7.8960 3.4178
angles (deg): 90.00 90.00 90.00
Positions (direct):
Li1 0.1616 0.3384 0.0000
Li2 0.3384 0.8384 0.0000
Li3 0.6616 0.1616 0.0000
Li4 0.8384 0.6616 0.0000
Mg1 0.1364 0.6364 0.5000
Mg2 0.3636 0.1364 0.5000
Mg3 0.6364 0.8636 0.5000
Mg4 0.8636 0.3636 0.5000
In1 0.0000 0.0000 0.5000
In2 0.5000 0.5000 0.5000

Output
- Polymorph energy (0 for the lowest one): 113 meV/atom
- E_form: -25 kJ/mol of formula units
- Fermi-level density of states: 3.65 states/eV/cell

***

Entry 6:
Compound: CeCu5S4
Source: Alexandria
Functional: PBE
Structure: optimized geometry

a b c (Å): 7.4486 7.4486 7.4486
angles (deg): 149.65 124.08 64.95
Positions (direct):
Ce1 0.0000 0.0000 0.0000
Cu1 0.0190 0.3184 0.7006
Cu2 0.3822 0.6816 0.7006
Cu3 0.5000 0.0000 0.5000
Cu4 0.6178 0.3184 0.2994
Cu5 0.9810 0.6816 0.2994
S1 0.2268 0.2268 0.0000
S2 0.2835 0.5000 0.7835
S3 0.7165 0.5000 0.2165
S4 0.7732 0.7732 0.0000

Output
- ΔE_f (raw): -529 meV per atom
- Fermi-level density of states: 6.36 states/eV/cell

***

Entry 7:
Compound: TaBrCl2
Source: Alexandria
Functional: PBE
Structure: optimized geometry

a b c (Å): 7.2929 7.2929 3.2673
angles (deg): 90.00 90.00 138.92
Positions (direct):
Ta1 0.0000 0.0000 0.0000
Br1 0.5000 0.5000 0.0000
Cl1 0.1370 0.8630 0.5000
Cl2 0.8630 0.1370 0.5000

Output
- ΔE_f (raw): -845 meV per atom
- Polymorph energy (0 for the lowest one): 149 meV/atom
- Fermi-level density of states: 2.13 states/eV/cell

***

Entry 8:
Compound: GaBi6Pb5
Source: Alexandria
Functional: PBE
Structure: optimized geometry

a b c (Å): 6.6435 6.9276 8.7218
angles (deg): 72.50 82.85 80.45
Positions (direct):
Ga1 0.0000 0.0000 0.0000
Bi1 0.1522 0.5946 0.3268
Bi2 0.1531 0.0768 0.3169
Bi3 0.4881 0.7679 0.9897
Bi4 0.5119 0.2321 0.0103
Bi5 0.8469 0.9232 0.6831
Bi6 0.8478 0.4054 0.6732
Pb1 0.0000 0.5000 0.0000
Pb2 0.3269 0.1284 0.6486
Pb3 0.3465 0.6198 0.6691
Pb4 0.6535 0.3802 0.3309
Pb5 0.6731 0.8716 0.3514

Output
- E_form: 61 kJ/mol of formula units
- Fermi-level density of states: 5.15 states/eV/cell

***

Entry 9:
Compound: HAuO2
Source: Alexandria
Functional: PBE
Structure: optimized geometry

a b c (Å): 3.1028 7.3529 4.5764
angles (deg): 90.00 90.00 90.00
Positions (direct):
H1 0.0000 0.2452 0.0000
H2 0.5000 0.7548 0.5000
Au1 0.0000 0.7431 0.9682
Au2 0.5000 0.2569 0.4682
O1 0.0000 0.1743 0.2072
O2 0.0000 0.3325 0.7265
O3 0.5000 0.6675 0.2265
O4 0.5000 0.8257 0.7071

Output
- Polymorph energy (0 for the lowest one): 15 meV/atom

***

Entry 10:
Compound: Y12ThIn3
Source: Alexandria
Functional: PBE
Structure: optimized geometry

a b c (Å): 4.8939 4.8939 19.8191
angles (deg): 90.00 90.00 90.00
Positions (direct):
Y1 0.0000 0.0000 0.0000
Y2 0.0000 0.0000 0.2443
Y3 0.0000 0.0000 0.5000
Y4 0.0000 0.0000 0.7557
Y5 0.0000 0.5000 0.1228
Y6 0.0000 0.5000 0.3701
Y7 0.0000 0.5000 0.6299
Y8 0.0000 0.5000 0.8772
Y9 0.5000 0.0000 0.1228
Y10 0.5000 0.0000 0.3701
Y11 0.5000 0.0000 0.6299
Y12 0.5000 0.0000 0.8772
Th1 0.5000 0.5000 0.5000
In1 0.5000 0.5000 0.0000
In2 0.5000 0.5000 0.2440
In3 0.5000 0.5000 0.7560

Output
- E_form: -286 kJ/mol of formula units
- Fermi-level density of states: 24.58 states/eV/cell

***

Entry 11:
Compound: NaBi2Pt
Source: Alexandria
Functional: PBE
Structure: optimized geometry

a b c (Å): 4.3651 8.2068 6.2258
angles (deg): 90.00 110.44 90.00
Positions (direct):
Na1 0.0650 0.2500 0.1279
Na2 0.9350 0.7500 0.8721
Bi1 0.3566 0.0432 0.7142
Bi2 0.3566 0.4568 0.7142
Bi3 0.6434 0.5432 0.2858
Bi4 0.6434 0.9568 0.2858
Pt1 0.2133 0.7500 0.4265
Pt2 0.7867 0.2500 0.5735

Output
- Polymorph energy (0 for the lowest one): 0 meV/atom
- E_form: -122 kJ/mol of formula units
- Fermi-level density of states: 2.30 states/eV/cell

***

Entry 12:
Compound: CaMg
Source: Alexandria
Functional: PBE
Structure: optimized geometry

a b c (Å): 6.4446 6.4446 6.8364
angles (deg): 117.30 117.30 50.75
Positions (direct):
Ca1 0.0000 0.0000 0.0000
Ca2 0.3586 0.3586 0.1932
Ca3 0.6414 0.6414 0.8068
Mg1 0.0000 0.0000 0.5000
Mg2 0.2986 0.2986 0.6415
Mg3 0.7014 0.7014 0.3585

Output
- E_form: -5 kJ/mol of formula units
- Fermi-level density of states: 4.67 states/eV/cell

***

Entry 13:
Compound: GdDyCuRh
Source: Alexandria
Functional: PBE
Structure: optimized geometry

a b c (Å): 4.9062 4.9062 4.9062
angles (deg): 60.00 60.00 60.00
Positions (direct):
Gd1 0.0000 0.0000 0.0000
Dy1 0.5000 0.5000 0.5000
Cu1 0.7500 0.7500 0.7500
Rh1 0.2500 0.2500 0.2500

Output
- E_form: -207 kJ/mol of formula units
- Fermi-level density of states: 3.59 states/eV/cell

***

The records above give, respectively, theoretical density values of 6.7 8.3 5.9 5.7 2.8 5.7 4.8 10.4 7.3 5.7 10.1 1.7 9.7 Mg/m³.